Record 1
First-principles (GGA-PBE) data for BaSc2Mn after structural relaxation, as listed in the Alexandria database.

Computed properties:
**SG**: Fm-3m
**Total magnetic moment**: 0.01 Bohr magnetons per cell

a b c (Å): 5.069 5.069 5.069
angles (deg): 60.00 60.00 60.00
Fractional positions:
Sc 0.250 0.250 0.250
Sc 0.750 0.750 0.750
Mn 0.000 0.000 0.000
Ba 0.500 0.500 0.500

---

Record 2
First-principles (GGA-PBE) data for TbHgPd6 after structural relaxation, as listed in the Alexandria database.

Computed properties:
**SG**: P4/mmm
**Total magnetic moment**: 0.00 Bohr magnetons per cell

a b c (Å): 4.158 5.747 5.747
angles (deg): 89.98 90.00 90.00
Fractional positions:
Hg 0.500 0.000 0.000
Pd 0.000 0.753 0.247
Pd 0.500 0.500 0.000
Pd 0.000 0.247 0.247
Pd 0.500 0.000 0.500
Pd 0.000 0.753 0.753
Pd 0.000 0.247 0.753
Tb 0.500 0.500 0.500

---

Q: Which DOS at the Fermi energy values were calculated for the entries above? A: 7.47; 7.13, in states/eV/cell.
Q: Which energy relative to the lowest polymorph listed for this composition values were calculated for the entries above? A: 528; 0, in meV/atom.